[1]
First-principles (SCAN) data for a PBEsol-optimized structure of ZrHg2, as listed in Alexandria via LeMat-Bulk.

DOS(E_F) = 8.6 states/eV per cell
DFT formation energy = -0.167 eV per atom

Structure (CIF):
```
data_ZrHg2
_cell_length_a 3.0996
_cell_length_b 3.0996
_cell_length_c 26.7468
_cell_angle_alpha 90.00
_cell_angle_beta 90.00
_cell_angle_gamma 90.00
_space_group_name_H-M_alt 'I 41/a m d'
_space_group_IT_number 141
loop_
_space_group_symop_operation_xyz
'x,y,z'
'-x,-y,-z'
'-y+1/4,x+3/4,z+1/4'
'y+1/4,-x+3/4,-z+1/4'
'-x+1/2,-y,z+1/2'
'x+1/2,y,-z+1/2'
'y+1/4,-x+1/4,z+3/4'
'-y+1/4,x+1/4,-z+3/4'
'x,-y,-z'
'-x,y,z'
'-y+1/4,-x+1/4,-z+3/4'
'y+1/4,x+1/4,z+3/4'
'-x+1/2,y,-z+1/2'
'x+1/2,-y,z+1/2'
'y+1/4,x+3/4,-z+1/4'
'-y+1/4,-x+3/4,z+1/4'
'x+1/2,y+1/2,z+1/2'
'-x+1/2,-y+1/2,-z+1/2'
'-y+3/4,x+1/4,z+3/4'
'y+3/4,-x+1/4,-z+3/4'
'-x,-y+1/2,z'
'x,y+1/2,-z'
'y+3/4,-x+3/4,z+1/4'
'-y+3/4,x+3/4,-z+1/4'
'x+1/2,-y+1/2,-z+1/2'
'-x+1/2,y+1/2,z+1/2'
'-y+3/4,-x+3/4,-z+1/4'
'y+3/4,x+3/4,z+1/4'
'-x,y+1/2,-z'
'x,-y+1/2,z'
'y+3/4,x+1/4,-z+3/4'
'-y+3/4,-x+1/4,z+3/4'
loop_
_atom_site_label
_atom_site_type_symbol
_atom_site_fract_x
_atom_site_fract_y
_atom_site_fract_z
_atom_site_occupancy
Zr1 Zr 0.0000 0.2500 0.3750 1
Hg1 Hg 0.0000 0.2500 0.7964 1
```


[2]
First-principles (SCAN) data for a PBEsol-optimized structure of Ca2CdRe, as listed in Alexandria via LeMat-Bulk.

DOS(E_F) = 2.8 states/eV per cell
DFT formation energy = 0.471 eV per atom

Structure (CIF):
```
data_Ca2CdRe
_cell_length_a 2.9508
_cell_length_b 3.5115
_cell_length_c 8.6912
_cell_angle_alpha 90.00
_cell_angle_beta 90.00
_cell_angle_gamma 90.00
_space_group_name_H-M_alt 'P m m m'
_space_group_IT_number 47
loop_
_space_group_symop_operation_xyz
'x,y,z'
'-x,-y,-z'
'-x,-y,z'
'x,y,-z'
'x,-y,-z'
'-x,y,z'
'-x,y,-z'
'x,-y,z'
loop_
_atom_site_label
_atom_site_type_symbol
_atom_site_fract_x
_atom_site_fract_y
_atom_site_fract_z
_atom_site_occupancy
Ca1 Ca 0.0000 0.0000 0.2219 1
Cd1 Cd 0.5000 0.5000 0.5000 1
Re1 Re 0.5000 0.5000 0.0000 1
```